Crystalline YRh2W at its relaxed geometry, computed with GGA-PBEsol.

a = 2.9550 Å, b = 2.9550 Å, c = 7.6180 Å
α = 90.00°, β = 90.00°, γ = 90.00°
Last column: nearest neighbours and their distance in Å.
Space group P4/mmm (No. 123)
Asymmetric unit:
1 Y 0.0000 0.0000 0.0000  4 Y 2.96, 8 Rh 3.00
2 Rh 0.5000 0.5000 0.2823  4 W 2.67, 4 Rh 2.96
3 W 0.0000 0.0000 0.5000  8 Rh 2.67, 4 W 2.96

Summary:
The formation energy comes out at -0.2671 eV/atom. For the energy above the lowest structure with this stoichiometry, the calculation gives 0 meV/atom. The magnetic moment is 0.00 Bohr magnetons per cell. The total DFT energy (no corrections) comes out at -37.975 eV per cell.